! PPtW2, single point on PBEsol structure, DFT SCAN; values from VASP
! * N(E_F): 0.852 states/eV/atom
! * density: 16.40 g/cm³
! * formation energy from the elements: 0.565 eV/atom
! * total DFT energy (no corrections): -54.427 eV/atom
&SYSTEM
  ibrav = 0, nat = 4, ntyp = 3
/
ATOMIC_SPECIES
Pt 195.08 Pt.upf
P 30.97 P.upf
W 183.84 W.upf
ATOMIC_POSITIONS angstrom
Pt 2.199 1.269 0.898
P 4.397 2.539 1.795
W 0.000 0.000 0.000
W 6.596 3.808 2.693
CELL_PARAMETERS angstrom
4.397 0.000 0.000
2.199 3.808 0.000
2.199 1.269 3.590



! PPtW2, single point on PBEsol structure, DFT SCAN; values from VASP
! * N(E_F): 0.553 states/eV/atom
! * density: 17.00 g/cm³
! * formation energy from the elements: 0.095 eV/atom
! * total DFT energy (no corrections): -54.897 eV/atom
&SYSTEM
  ibrav = 0, nat = 4, ntyp = 3
/
ATOMIC_SPECIES
W 183.84 W.upf
Pt 195.08 Pt.upf
P 30.97 P.upf
ATOMIC_POSITIONS angstrom
W -0.400 1.810 1.323
Pt -1.040 0.391 -0.849
W -1.468 -1.226 1.234
P -2.908 0.974 1.708
CELL_PARAMETERS angstrom
-2.080 0.782 -1.698
-2.937 -2.453 2.468
-0.799 3.619 2.645



! P2PtW, single point on PBEsol structure, DFT SCAN; values from VASP
! * N(E_F): 0.379 states/eV/atom
! * density: 12.29 g/cm³
! * formation energy from the elements: -0.064 eV/atom
! * total DFT energy (no corrections): -40.234 eV/atom
&SYSTEM
  ibrav = 0, nat = 4, ntyp = 3
/
ATOMIC_SPECIES
P 30.97 P.upf
W 183.84 W.upf
Pt 195.08 Pt.upf
ATOMIC_POSITIONS angstrom
P -2.253 4.175 0.552
W -2.072 2.407 2.371
P -0.912 1.691 0.223
Pt -1.125 -0.686 0.594
CELL_PARAMETERS angstrom
-2.250 -1.371 1.188
1.272 0.319 2.778
-3.166 5.865 0.775



! P2PtW, single point on PBEsol structure, DFT SCAN; values from VASP
! * N(E_F): 0.505 states/eV/atom
! * density: 12.92 g/cm³
! * formation energy from the elements: -0.160 eV/atom
! * total DFT energy (no corrections): -40.330 eV/atom
&SYSTEM
  ibrav = 0, nat = 4, ntyp = 3
/
ATOMIC_SPECIES
P 30.97 P.upf
W 183.84 W.upf
Pt 195.08 Pt.upf
ATOMIC_POSITIONS angstrom
P -0.774 -3.192 3.632
P -2.510 -0.356 1.246
W -2.908 -1.999 3.115
Pt -0.348 -1.434 1.631
CELL_PARAMETERS angstrom
-1.716 2.321 1.674
-2.813 -1.008 -1.485
-0.804 -3.318 3.774



! P4PtW, single point on PBEsol structure, DFT SCAN; values from VASP
! * N(E_F): 0.480 states/eV/atom
! * density: 10.10 g/cm³
! * formation energy from the elements: 0.970 eV/atom
! * total DFT energy (no corrections): -29.276 eV/atom
&SYSTEM
  ibrav = 0, nat = 6, ntyp = 3
/
ATOMIC_SPECIES
Pt 195.08 Pt.upf
P 30.97 P.upf
W 183.84 W.upf
ATOMIC_POSITIONS angstrom
Pt 7.336 4.235 2.995
P 4.890 2.823 3.498
P 4.890 4.239 1.496
P 3.664 2.116 1.496
W 0.000 0.000 0.000
P 6.117 2.116 1.496
CELL_PARAMETERS angstrom
4.890 0.000 0.000
2.445 4.235 0.000
2.445 1.412 3.993



! P2PtW, single point on PBEsol structure, DFT SCAN; values from VASP
! * N(E_F): 0.677 states/eV/atom
! * density: 12.51 g/cm³
! * formation energy from the elements: 0.622 eV/atom
! * total DFT energy (no corrections): -39.547 eV/atom
&SYSTEM
  ibrav = 0, nat = 4, ntyp = 3
/
ATOMIC_SPECIES
Pt 195.08 Pt.upf
P 30.97 P.upf
W 183.84 W.upf
ATOMIC_POSITIONS angstrom
Pt -0.959 -2.910 -4.369
P -1.438 -4.366 -6.554
P 0.000 0.000 0.000
W -0.479 -1.455 -2.185
CELL_PARAMETERS angstrom
-1.677 0.065 -4.021
1.825 -2.380 -3.161
-2.066 -3.507 -1.556



! P2PtW, single point on PBEsol structure, DFT SCAN; values from VASP
! * N(E_F): 0.610 states/eV/atom
! * density: 12.57 g/cm³
! * formation energy from the elements: 0.406 eV/atom
! * total DFT energy (no corrections): -39.764 eV/atom
&SYSTEM
  ibrav = 0, nat = 4, ntyp = 3
/
ATOMIC_SPECIES
W 183.84 W.upf
P 30.97 P.upf
Pt 195.08 Pt.upf
ATOMIC_POSITIONS angstrom
W 0.000 1.917 2.454
P 1.547 0.000 2.454
Pt 1.547 1.917 0.000
P 0.000 0.000 0.000
CELL_PARAMETERS angstrom
3.095 0.000 0.000
0.000 3.834 0.000
0.000 0.000 4.908



! YP2Pt, single point on PBEsol structure, DFT SCAN; values from VASP
! * N(E_F): 0.823 states/eV/atom
! * density: 8.01 g/cm³
! * formation energy from the elements: -0.910 eV/atom
! * total DFT energy (no corrections): -30.619 eV/atom
&SYSTEM
  ibrav = 0, nat = 4, ntyp = 3
/
ATOMIC_SPECIES
Y 88.91 Y.upf
P 30.97 P.upf
Pt 195.08 Pt.upf
ATOMIC_POSITIONS angstrom
Y -0.128 1.127 -1.612
P -2.025 1.412 -3.671
P -4.288 0.336 -4.244
Pt -3.028 -0.253 -2.346
CELL_PARAMETERS angstrom
-0.255 2.253 -3.223
-1.732 -2.200 -3.810
-4.325 1.695 -0.882